(a)
SCAN AlHg2As, PBEsol geometry; V = 20.8 Å³/atom
1.0
-0.381 -4.855 0.543
0.158 -2.924 -3.929
3.901 -2.865 -0.767
Al Hg As
1 2 1
Direct
0.500 0.500 0.500
0.750 0.750 0.750
0.000 0.000 0.000
0.250 0.250 0.250

=====

(b)
SCAN AlHg2As, PBEsol geometry; V = 20.4 Å³/atom
1.0
2.889 0.000 0.000
0.000 4.739 0.000
0.000 0.000 5.968
Hg Al As
2 1 1
Direct
0.000 0.000 0.754
0.000 0.000 0.246
0.500 0.500 0.000
0.500 0.500 0.500

=====

Result of the stability comparison: (a) is the most stable of them.

=====

(a)
SCAN Cd2InPb, PBEsol geometry; V = 24.9 Å³/atom
1.0
-1.874 -0.576 -3.143
-0.492 -5.013 1.212
-4.442 1.031 2.460
In Pb Cd
1 1 2
Direct
0.500 0.500 0.500
0.500 0.000 0.000
0.000 0.500 0.000
0.000 0.000 0.500

=====

(b)
SCAN Cd2InPb, PBEsol geometry; V = 24.2 Å³/atom
1.0
3.279 0.000 0.000
0.000 3.279 0.000
0.000 0.000 9.012
Pb Cd In
1 2 1
Direct
0.500 0.500 0.763
0.500 0.500 0.237
0.000 0.000 0.022
0.000 0.000 0.479

=====

Result of the stability comparison: (b) is the most stable of them.